Record 1
# PBE RbLi2Cd2, relaxed
# DOS(E_F), states/eV/cell: 3.73
# Raw total energy, eV/atom: -1.35
# Formation energy from the elements, kcal/mol of atoms: -0.58
data_RbLi2Cd2
_cell_length_a 9.206
_cell_length_b 9.206
_cell_length_c 3.181
_cell_angle_alpha 90.00
_cell_angle_beta 90.00
_cell_angle_gamma 90.00
_space_group_name_H-M_alt 'P 4/m b m'
_space_group_IT_number 127
_space_group_name_Hall '-P 4 2ab'
loop_
_atom_site_label
_atom_site_fract_x
_atom_site_fract_y
_atom_site_fract_z
_atom_site_occupancy
Rb1 0.000 0.000 0.000 1
Li1 0.170 0.330 0.500 1
Cd1 0.117 0.617 0.000 1

Record 2
# PBE Rb2LiCd16, relaxed
# DOS(E_F), states/eV/cell: 26.84
# Raw total energy, eV/atom: -1.03
# Formation energy from the elements, kcal/mol of atoms: -1.37
data_Rb2LiCd16
_cell_length_a 10.4884
_cell_length_b 10.4884
_cell_length_c 15.3563
_cell_angle_alpha 90.00
_cell_angle_beta 90.00
_cell_angle_gamma 120.00
_space_group_name_H-M_alt 'R 3 m'
_space_group_IT_number 160
_space_group_name_Hall 'R 3 -2"'
loop_
_atom_site_label
_atom_site_fract_x
_atom_site_fract_y
_atom_site_fract_z
_atom_site_occupancy
Rb1 0.0000 0.0000 0.0000 1
Rb2 0.0000 0.0000 0.3156 1
Li1 0.0000 0.0000 0.7505 1
Cd1 0.0000 0.0000 0.5581 1
Cd2 0.0006 0.2902 0.6597 1
Cd3 0.0006 0.5003 0.5097 1
Cd4 0.0022 0.5011 0.8078 1
Cd5 0.1695 0.3391 0.4925 1

Record 3
# PBE Rb3Li2Cd9, relaxed
# DOS(E_F), states/eV/cell: 14.02
# Raw total energy, eV/atom: -1.15
# Formation energy from the elements, kcal/mol of atoms: -1.86
data_Rb3Li2Cd9
_cell_length_a 5.001
_cell_length_b 12.377
_cell_length_c 14.525
_cell_angle_alpha 90.00
_cell_angle_beta 90.00
_cell_angle_gamma 90.00
_space_group_name_H-M_alt 'I m m m'
_space_group_IT_number 71
_space_group_name_Hall '-I 2 2'
loop_
_atom_site_label
_atom_site_fract_x
_atom_site_fract_y
_atom_site_fract_z
_atom_site_occupancy
Rb1 0.000 0.000 0.000 1
Rb2 0.000 0.000 0.286 1
Li1 0.000 0.201 0.500 1
Cd1 0.000 0.288 0.104 1
Cd2 0.000 0.288 0.311 1
Cd3 0.000 0.500 0.000 1

Record 4
# PBE RbLiCd2, relaxed
# DOS(E_F), states/eV/cell: 10.67
# Raw total energy, eV/atom: -1.08
# Formation energy from the elements, kcal/mol of atoms: 2.15
data_RbLiCd2
_cell_length_a 8.090
_cell_length_b 8.090
_cell_length_c 8.090
_cell_angle_alpha 90.00
_cell_angle_beta 90.00
_cell_angle_gamma 90.00
_space_group_name_H-M_alt 'F m -3 m'
_space_group_IT_number 225
_space_group_name_Hall '-F 4 2 3'
loop_
_atom_site_label
_atom_site_fract_x
_atom_site_fract_y
_atom_site_fract_z
_atom_site_occupancy
Rb1 0.000 0.000 0.000 1
Li1 0.000 0.000 0.500 1
Cd1 0.250 0.250 0.250 1